(1)
The following is a PBE calculation of a relaxed structure of TaGe2OF, from the Alexandria database.

```
TaGe2OF
1.0
4.026 0.000 0.000
0.000 4.026 0.000
0.000 0.000 4.511
Ta Ge O F
1 2 1 1
Cartesian
0.000 0.000 0.000
0.000 2.013 2.256
2.013 0.000 2.256
2.013 2.013 0.000
2.013 2.013 2.256
```

Crystal system   tetragonal
Magnetic moment   0.00 μB/f.u.
ΔE_f (raw)   0.214 eV per atom
DOS(E_F)   2.4 states/eV/f.u.
SG   P4/mmm

(2)
The following is a PBE calculation of a relaxed structure of TaGeO2F, from the Alexandria database.

```
TaGeO2F
1.0
3.996 0.000 0.000
0.000 3.996 0.000
0.000 0.000 4.308
Ta Ge O F
1 1 2 1
Cartesian
0.000 0.000 0.000
1.998 1.998 2.154
0.000 1.998 0.000
1.998 0.000 0.000
0.000 0.000 2.154
```

Crystal system   tetragonal
Magnetic moment   0.00 μB/f.u.
ΔE_f (raw)   -1.620 eV per atom
DOS(E_F)   3.2 states/eV/f.u.
SG   P4/mmm

(3)
The following is a PBE calculation of a relaxed structure of TaGeO2F, from the Alexandria database.

```
TaGeO2F
1.0
4.025 0.000 0.000
0.000 4.025 0.000
0.000 0.000 3.978
Ta Ge O F
1 1 2 1
Cartesian
0.000 0.000 0.000
2.013 2.013 1.989
0.000 2.013 1.989
2.013 0.000 1.989
2.013 2.013 0.000
```

Crystal system   tetragonal
Magnetic moment   3.09 μB/f.u.
ΔE_f (raw)   -0.310 eV per atom
DOS(E_F)   3.7 states/eV/f.u.
SG   P4/mmm

(4)
The following is a PBE calculation of a relaxed structure of TcGeO2F, from the Alexandria database.

```
TcGeO2F
1.0
3.870 0.000 0.000
0.000 3.870 0.000
0.000 0.000 4.399
Tc Ge O F
1 1 2 1
Cartesian
0.000 0.000 0.000
1.935 1.935 2.200
0.000 1.935 0.000
1.935 0.000 0.000
0.000 0.000 2.200
```

Crystal system   tetragonal
Magnetic moment   0.21 μB/f.u.
ΔE_f (raw)   -0.868 eV per atom
DOS(E_F)   2.9 states/eV/f.u.
SG   P4/mmm

(5)
The following is a PBE calculation of a relaxed structure of TcGeO2F, from the Alexandria database.

```
TcGeO2F
1.0
3.894 0.000 0.000
0.000 3.894 0.000
0.000 0.000 4.137
Tc Ge O F
1 1 2 1
Cartesian
0.000 0.000 0.000
1.947 1.947 2.069
0.000 1.947 2.069
1.947 0.000 2.069
1.947 1.947 0.000
```

Crystal system   tetragonal
Magnetic moment   4.64 μB/f.u.
ΔE_f (raw)   -0.496 eV per atom
DOS(E_F)   2.1 states/eV/f.u.
SG   P4/mmm

(6)
The following is a PBE calculation of a relaxed structure of GeTeOF2, from the Alexandria database.

```
GeTeOF2
1.0
4.671 0.000 0.000
0.000 4.671 0.000
0.000 0.000 3.645
Ge Te O F
1 1 1 2
Cartesian
0.000 0.000 0.000
2.335 2.335 1.823
0.000 0.000 1.823
0.000 2.335 0.000
2.335 0.000 0.000
```

Crystal system   tetragonal
Magnetic moment   2.00 μB/f.u.
ΔE_f (raw)   -0.864 eV per atom
DOS(E_F)   0.4 states/eV/f.u.
ΔE to the lowest computed polymorph   0 meV per atom
SG   P4/mmm

(7)
The following is a PBE calculation of a relaxed structure of GeTeO2F, from the Alexandria database.

```
GeTeO2F
1.0
3.936 0.000 0.000
0.000 3.936 0.000
0.000 0.000 4.114
Ge Te O F
1 1 2 1
Cartesian
0.000 0.000 0.000
1.968 1.968 2.057
0.000 1.968 0.000
1.968 0.000 0.000
0.000 0.000 2.057
```

Crystal system   tetragonal
Magnetic moment   0.00 μB/f.u.
ΔE_f (raw)   -0.619 eV per atom
DOS(E_F)   2.8 states/eV/f.u.
SG   P4/mmm

(8)
The following is a PBE calculation of a relaxed structure of GeTeO2F, from the Alexandria database.

```
GeTeO2F
1.0
4.222 0.000 0.000
0.000 4.222 0.000
0.000 0.000 4.542
Ge Te O F
1 1 2 1
Cartesian
0.000 0.000 0.000
2.111 2.111 2.271
0.000 2.111 2.271
2.111 0.000 2.271
2.111 2.111 0.000
```

Crystal system   tetragonal
Magnetic moment   0.64 μB/f.u.
ΔE_f (raw)   -0.530 eV per atom
DOS(E_F)   2.3 states/eV/f.u.
SG   P4/mmm